The following is a PBE calculation of a relaxed structure of InGa3O6, from Alexandria.

Output
ρ = 5.9 Mg/m³
SG = Cm (8)
uncorrected formation energy = -1.68 eV/atom
magnetic moment = 0.0 μB/cell

Unit cell a=6.4671 b=6.4671 c=6.1382 alpha=75.92 beta=75.92 gamma=28.29
Atoms (fractional coordinates):
O: 0.8215 0.8215 0.5514
O: 0.8298 0.8298 0.1365
O: 0.1714 0.1714 0.4345
O: 0.5059 0.5059 0.2476
O: 0.1696 0.1696 0.8896
O: 0.5069 0.5069 0.7330
Ga: 0.3385 0.3385 0.3198
Ga: 0.6603 0.6603 0.6822
Ga: 0.0931 0.0931 0.2018
In: 0.9030 0.9030 0.8038